Below is a relaxed structure of CaTbP2S8, with properties calculated at the PBE level.

Its formation energy from raw total energies is -70.7 kJ/mol of atoms. Its crystal system is trigonal.

The structure belongs to space group P-3 (No. 147); the cell edges are 5.9760, 5.9760 and 9.1142 Å and the angles 90.00°, 90.00° and 120.00°. The inequivalent atoms are Ca at (0.0000, 0.0000, 0.0000), Tb at (0.0000, 0.0000, 0.5000), P at (0.3333, 0.6667, 0.7656), S at (0.9996, 0.3388, 0.7042) and S at (0.3333, 0.6667, 0.9890).


Below is a relaxed structure of BaOsW2, with properties calculated at the PBE level.

As for the energy of formation: 3.2 eV per formula unit. Its crystal system is tetragonal. As for the relative energy among the computed polymorphs: 0 meV/atom.

The structure belongs to space group P4mm (No. 99); the cell edges are 3.212, 3.212 and 8.270 Å and the angles 90.00°, 90.00° and 90.00°. The inequivalent atoms are Ba at (0.000, 0.000, 0.000), Os at (0.500, 0.500, 0.317), W at (0.000, 0.000, 0.483) and W at (0.500, 0.500, 0.662).


Below is a relaxed structure of CsSiI2O, with properties calculated at the PBE level.

Its formation energy from raw total energies is 64.2 kJ/mol of atoms. Its crystal system is tetragonal. As for the relative energy among the computed polymorphs: 1516 meV/atom.

The structure belongs to space group P4/mmm (No. 123); the cell edges are 6.843, 6.843 and 4.368 Å and the angles 90.00°, 90.00° and 90.00°. The inequivalent atoms are Cs at (0.000, 0.000, 0.000), Si at (0.500, 0.500, 0.500), I at (0.000, 0.500, 0.000) and O at (0.000, 0.000, 0.500).


Below is a relaxed structure of Cs2TlSnI6, with properties calculated at the PBE level.

Its formation energy from raw total energies is -87.8 kJ/mol of atoms. Its crystal system is tetragonal. As for the relative energy among the computed polymorphs: 0 meV/atom.

The structure belongs to space group I4/mmm (No. 139); the cell edges are 8.927, 8.927 and 12.586 Å and the angles 90.00°, 90.00° and 90.00°. The inequivalent atoms are Cs at (0.000, 0.500, 0.250), Tl at (0.000, 0.000, 0.000), Sn at (0.000, 0.000, 0.500), I at (0.000, 0.000, 0.259) and I at (0.241, 0.241, 0.500).


Below is a relaxed structure of Y2SiICl, with properties calculated at the PBE level.

Its formation energy from raw total energies is 41.1 kJ/mol of atoms. Its crystal system is tetragonal.

The structure belongs to space group P4/mmm (No. 123); the cell edges are 5.711, 5.711 and 5.185 Å and the angles 90.00°, 90.00° and 90.00°. The inequivalent atoms are Y at (0.000, 0.500, 0.000), Si at (0.000, 0.000, 0.500), I at (0.000, 0.000, 0.000) and Cl at (0.500, 0.500, 0.500).


Below is a relaxed structure of Cs2InGa2, with properties calculated at the PBE level.

As for the energy of formation: 0.4 eV per formula unit. Its crystal system is tetragonal.

The structure belongs to space group P4/mbm (No. 127); the cell edges are 7.496, 7.496 and 6.441 Å and the angles 90.00°, 90.00° and 90.00°. The inequivalent atoms are Cs at (0.184, 0.316, 0.000), In at (0.000, 0.000, 0.500) and Ga at (0.124, 0.624, 0.500).


| no. | D(E_F) (states/eV per cell) |
| --- | --- |
| 1 | 12.6 |
| 2 | 2.8 |
| 3 | 5.1 |
| 4 | 10.3 |
| 5 | 4.1 |
| 6 | 6.8 |